# 1
{
  "formula": "Zr4Te8Pb",
  "functional": "PBE-GGA",
  "state": "relaxed",
  "lattice_angstrom": [[7.269, 0.000, 3.315], [2.879, 6.675, 3.315], [0.174, 0.115, 9.245]],
  "species": ["Te", "Te", "Te", "Te", "Te", "Te", "Te", "Te", "Zr", "Zr", "Zr", "Zr", "Pb"],
  "fractional_positions": [[0.259, 0.259, 0.224], [0.760, 0.760, 0.227], [0.240, 0.240, 0.773], [0.746, 0.240, 0.773], [0.760, 0.254, 0.227], [0.240, 0.746, 0.773], [0.254, 0.760, 0.227], [0.741, 0.741, 0.776], [0.500, 0.000, 0.000], [0.000, 0.000, 0.000], [0.000, 0.500, 0.000], [0.500, 0.500, 0.000], [0.500, 0.500, 0.500]],
  "dft_energy_ev_per_atom": -5.634,
  "formation_energy_uncorrected_ev_per_atom": -0.785
}


# 2
{
  "formula": "Ag2MoW",
  "functional": "PBE-GGA",
  "state": "relaxed",
  "lattice_angstrom": [[-3.146, -0.203, -3.721], [-1.374, -4.660, -0.420], [0.054, 2.916, 3.908]],
  "species": ["Ag", "Ag", "Mo", "W"],
  "fractional_positions": [[0.000, 0.000, 0.000], [0.250, 0.750, 0.500], [0.500, 0.500, 0.000], [0.750, 0.250, 0.500]],
  "dft_energy_ev_per_atom": -6.677,
  "polymorph_energy_kj_per_mol_atoms": 37.7,
  "formation_enthalpy_0k_ev_per_atom": 0.694
}


# 3
{
  "formula": "Sr2TaCr",
  "functional": "PBE-GGA",
  "state": "relaxed",
  "lattice_angstrom": [[9.731, -0.031, 0.043], [9.144, 3.328, 0.043], [0.768, 0.134, 3.840]],
  "species": ["Sr", "Sr", "Cr", "Ta"],
  "fractional_positions": [[0.596, 0.596, 0.404], [0.904, 0.904, 0.096], [0.250, 0.250, 0.250], [0.750, 0.750, 0.750]],
  "dft_energy_ev_per_atom": -5.484,
  "polymorph_energy_kj_per_mol_atoms": 13.8,
  "formation_enthalpy_0k_ev_per_atom": 0.726
}


Repeat the first record exactly.
{
  "formula": "Zr4Te8Pb",
  "functional": "PBE-GGA",
  "state": "relaxed",
  "lattice_angstrom": [[7.269, 0.000, 3.315], [2.879, 6.675, 3.315], [0.174, 0.115, 9.245]],
  "species": ["Te", "Te", "Te", "Te", "Te", "Te", "Te", "Te", "Zr", "Zr", "Zr", "Zr", "Pb"],
  "fractional_positions": [[0.259, 0.259, 0.224], [0.760, 0.760, 0.227], [0.240, 0.240, 0.773], [0.746, 0.240, 0.773], [0.760, 0.254, 0.227], [0.240, 0.746, 0.773], [0.254, 0.760, 0.227], [0.741, 0.741, 0.776], [0.500, 0.000, 0.000], [0.000, 0.000, 0.000], [0.000, 0.500, 0.000], [0.500, 0.500, 0.000], [0.500, 0.500, 0.500]],
  "dft_energy_ev_per_atom": -5.634,
  "formation_energy_uncorrected_ev_per_atom": -0.785
}